1.
4
Lattice="0.000 3.577 3.577 3.577 0.000 3.577 3.577 3.577 0.000" Properties=species:S:1:pos:R:3 comment="KAgAu2 (PBE, optimized geometry)" formation_energy_ev_per_fu=0.5 n_ef_per_ev_cell=1.41 spacegroup="Fm-3m, No. 225" pbc="T T T"
K 0.000 0.000 0.000
Ag 3.577 3.577 3.577
Au 1.788 1.788 1.788
Au 5.365 5.365 5.365


2.
6
Lattice="3.788 -2.186 0.000 3.788 2.186 0.000 -2.535 0.000 6.776" Properties=species:S:1:pos:R:3 comment="Ti4TcPd (PBE, optimized geometry)" formation_energy_ev_per_fu=0.1 n_ef_per_ev_cell=9.43 spacegroup="C2/m, No. 12" pbc="T T T"
Ti -0.003 0.000 2.477
Ti 2.524 0.000 0.771
Ti 2.517 0.000 6.005
Ti 5.044 0.000 4.299
Tc 0.000 0.000 0.000
Pd 2.521 0.000 3.388


3.
4
Lattice="-2.477 2.477 5.931 2.477 -2.477 5.931 2.477 2.477 -5.931" Properties=species:S:1:pos:R:3 comment="Ba2MgAu (PBE, optimized geometry)" formation_energy_ev_per_fu=-0.7 n_ef_per_ev_cell=3.21 spacegroup="I-4m2, No. 119" pbc="T T T"
Ba 0.000 0.000 0.000
Ba 0.000 2.477 2.966
Mg 2.477 0.000 2.966
Au 0.000 0.000 5.931


4.
7
Lattice="4.024 0.000 0.000 -2.012 3.485 0.000 0.000 0.000 11.563" Properties=species:S:1:pos:R:3 comment="Ce2AgSe2O2 (PBE, optimized geometry)" n_ef_per_ev_cell=7.37 formation_energy_uncorrected_ev_per_atom=-2.133 spacegroup="P-3m1, No. 164" pbc="T T T"
Ce 0.000 2.323 1.495
Ce 2.012 1.162 10.068
Ag 0.000 0.000 5.781
Se 0.000 0.000 3.303
Se 0.000 0.000 8.260
O 0.000 2.323 10.737
O 2.012 1.162 0.826


5.
8
Lattice="-4.089 4.128 5.201 4.089 -4.128 5.201 4.089 4.128 -5.201" Properties=species:S:1:pos:R:3 comment="CsLi2TlI4 (PBE, optimized geometry)" n_ef_per_ev_cell=0.00 formation_energy_uncorrected_ev_per_atom=-1.071 spacegroup="I222, No. 23" pbc="T T T"
Cs 0.000 0.000 0.000
Li 4.089 0.000 2.639
Li 0.000 4.128 2.562
Tl 0.000 0.000 5.201
I 2.140 2.299 -2.189
I 1.949 -1.829 7.390
I 1.949 1.829 3.012
I 2.140 5.957 2.189


6.
11
Lattice="7.745 0.000 0.000 -3.873 6.708 0.000 0.000 0.000 9.507" Properties=species:S:1:pos:R:3 comment="Ca7Ac3La (PBE, optimized geometry)" formation_energy_ev_per_fu=1.9 n_ef_per_ev_cell=16.96 spacegroup="P3m1, No. 156" pbc="T T T"
Ca 0.000 0.000 0.000
Ca 0.000 2.262 3.146
Ca -1.913 5.576 3.146
Ca 3.873 0.006 9.491
Ca 1.941 3.351 9.491
Ca 1.913 5.576 3.146
Ca 5.804 3.351 9.491
Ac 1.960 1.132 6.256
Ac 5.785 1.132 6.256
Ac 3.873 4.444 6.256
La 3.873 2.236 3.234


7.
5
Lattice="-3.174 3.174 2.037 3.174 -3.174 2.037 3.174 3.174 -2.037" Properties=species:S:1:pos:R:3 comment="Zn4As (PBE, optimized geometry)" formation_energy_ev_per_fu=0.5 n_ef_per_ev_cell=1.78 spacegroup="I4/m, No. 87" pbc="T T T"
Zn 4.400 0.590 0.000
Zn 0.590 1.948 0.000
Zn 2.584 1.226 2.037
Zn -1.226 2.584 2.037
As 0.000 0.000 2.037


8.
5
Lattice="4.740 0.000 0.000 0.000 4.740 0.000 0.000 0.000 3.477" Properties=species:S:1:pos:R:3 comment="GaPt2CS (PBE, optimized geometry)" n_ef_per_ev_cell=4.65 formation_energy_uncorrected_ev_per_atom=1.047 spacegroup="P4/mmm, No. 123" pbc="T T T"
Ga 0.000 0.000 0.000
Pt 0.000 2.370 1.738
Pt 2.370 0.000 1.738
C 2.370 2.370 0.000
S 2.370 2.370 1.738


9.
5
Lattice="4.494 0.000 0.000 0.000 4.494 0.000 0.000 0.000 4.946" Properties=species:S:1:pos:R:3 comment="TlNi2GeAu (PBE, optimized geometry)" formation_energy_ev_per_fu=2.2 n_ef_per_ev_cell=3.38 spacegroup="P4/mmm, No. 123" pbc="T T T"
Tl 0.000 0.000 0.000
Ni 0.000 2.247 2.473
Ni 2.247 0.000 2.473
Ge 2.247 2.247 2.473
Au 2.247 2.247 0.000


10.
3
Lattice="-1.833 1.833 5.542 1.833 -1.833 5.542 1.833 1.833 -5.542" Properties=species:S:1:pos:R:3 comment="HoHfSn (PBE, optimized geometry)" formation_energy_ev_per_fu=-0.8 n_ef_per_ev_cell=4.38 spacegroup="I4mm, No. 107" pbc="T T T"
Ho 0.000 0.000 0.000
Hf 0.000 0.000 7.502
Sn 0.000 0.000 3.595


11.
16
Lattice="6.586 -3.874 0.000 6.586 3.874 0.000 -4.071 0.000 6.412" Properties=species:S:1:pos:R:3 comment="Li4Ce3CuS8 (PBE, optimized geometry)" n_ef_per_ev_cell=11.67 formation_energy_uncorrected_ev_per_atom=-1.450 spacegroup="C2/m, No. 12" pbc="T T T"
Li 0.000 0.000 0.000
Li 1.257 1.937 3.206
Li 1.257 -1.937 3.206
Li 6.586 0.000 0.000
Ce -2.036 0.000 3.206
Ce 3.293 1.937 0.000
Ce 3.293 -1.937 0.000
Cu 4.550 0.000 3.206
S 2.129 0.000 1.531
S 0.292 0.000 4.743
S 5.501 1.822 1.645
S 3.599 1.822 4.767
S 5.501 -1.822 1.645
S 3.599 -1.822 4.767
S 8.808 0.000 1.669
S 6.971 0.000 4.881


12.
4
Lattice="2.012 1.162 8.317 -2.012 1.162 8.317 0.000 -2.323 8.317" Properties=species:S:1:pos:R:3 comment="LiSiTe2 (PBE, optimized geometry)" n_ef_per_ev_cell=2.71 formation_energy_uncorrected_ev_per_atom=-0.141 spacegroup="R-3m, No. 166" pbc="T T T"
Li 0.000 0.000 0.000
Si 0.000 0.000 12.475
Te 0.000 0.000 2.613
Te 0.000 0.000 22.338